A relaxed structure of Dy2Tm7Sc2, computed with PBE.

Computed properties:
- magnetization (μB per cell) = 0.00
- calculated formation energy (meV per atom) = 112
- Fermi-level density of states (states/eV/atom) = 1.8393
- final energy (eV/atom) = -4.72
- excess energy over the best structure of this formula in the dataset (kJ/mol of formula units) = 77
- space-group type = C2/m, No. 12

Unit cell a=6.3867 b=6.3867 c=8.3030 alpha=98.71 beta=98.71 gamma=92.08
Closest atoms and distances in Å follow each position.
Fractional positions:
1 Dy 0.1805 0.8195 0.0000  2 Sc 3.31, 1 Dy 3.32, 8 Tm 3.33-3.54
2 Dy 0.8195 0.1805 0.0000  2 Sc 3.31, 1 Dy 3.32, 8 Tm 3.33-3.54
3 Tm 0.0408 0.4104 0.6969  3 Sc 3.31-3.33, 2 Dy 3.33-3.54, 6 Tm 3.40-3.69
4 Tm 0.3411 0.3411 0.0880  1 Sc 3.34, 4 Dy 3.39-3.41, 6 Tm 3.40-3.61
5 Tm 0.4104 0.0408 0.6969  3 Sc 3.31-3.33, 2 Dy 3.33-3.54, 6 Tm 3.40-3.69
6 Tm 0.5000 0.5000 0.5000  10 Tm 3.40-3.69, 2 Sc 3.45
7 Tm 0.5896 0.9592 0.3031  3 Sc 3.31-3.33, 2 Dy 3.33-3.54, 6 Tm 3.40-3.69
8 Tm 0.6589 0.6589 0.9120  1 Sc 3.34, 4 Dy 3.39-3.41, 6 Tm 3.40-3.61
9 Tm 0.9592 0.5896 0.3031  3 Sc 3.31-3.33, 2 Dy 3.33-3.54, 6 Tm 3.40-3.69
10 Sc 0.1045 0.1045 0.3513  8 Tm 3.31-3.45, 2 Dy 3.31, 1 Sc 3.40
11 Sc 0.8955 0.8955 0.6487  8 Tm 3.31-3.45, 2 Dy 3.31, 1 Sc 3.40